# 1
The following is a DFT calculation (GGA-PBE) of an optimized crystal structure of TaTeBr3.

```
data_TaTeBr3
_chemical_formula_sum 'Ta1 Te1 Br3'
_cell_length_a 5.168
_cell_length_b 5.168
_cell_length_c 5.168
_cell_angle_alpha 90.00
_cell_angle_beta 90.00
_cell_angle_gamma 90.00
_space_group_name_H-M_alt 'P 1'
_space_group_IT_number 1
loop_
_space_group_symop_operation_xyz
'x,y,z'
loop_
_atom_site_label
_atom_site_type_symbol
_atom_site_fract_x
_atom_site_fract_y
_atom_site_fract_z
Br1 Br 0.000 0.500 0.000
Br2 Br 0.000 0.000 0.500
Br3 Br 0.500 0.000 0.000
Te1 Te 0.500 0.500 0.500
Ta1 Ta 0.000 0.000 0.000
```

Values from the calculation:
The uncorrected formation energy comes out at 0.186 eV/atom.

***

# 2
The following is a DFT calculation (GGA-PBE) of an optimized crystal structure of CuReHg2.

```
data_CuReHg2
_chemical_formula_sum 'Cu1 Re1 Hg2'
_cell_length_a 4.764
_cell_length_b 2.913
_cell_length_c 5.046
_cell_angle_alpha 90.03
_cell_angle_beta 90.00
_cell_angle_gamma 90.00
_space_group_name_H-M_alt 'P 1'
_space_group_IT_number 1
loop_
_space_group_symop_operation_xyz
'x,y,z'
loop_
_atom_site_label
_atom_site_type_symbol
_atom_site_fract_x
_atom_site_fract_y
_atom_site_fract_z
Re1 Re 0.000 0.625 0.455
Hg1 Hg 0.000 0.126 0.943
Hg2 Hg 0.500 0.124 0.325
Cu1 Cu 0.500 0.625 0.777
```

Values from the calculation:
The value obtained for the formation energy is 0.689 eV/atom. Its polymorph energy (0 for the lowest one) is 0.144 eV/atom.

***

# 3
The following is a DFT calculation (GGA-PBE) of an optimized crystal structure of Zr3Ag5.

```
data_Zr3Ag5
_chemical_formula_sum 'Zr3 Ag5'
_cell_length_a 3.367
_cell_length_b 3.367
_cell_length_c 14.015
_cell_angle_alpha 90.00
_cell_angle_beta 90.00
_cell_angle_gamma 90.00
_space_group_name_H-M_alt 'P 1'
_space_group_IT_number 1
loop_
_space_group_symop_operation_xyz
'x,y,z'
loop_
_atom_site_label
_atom_site_type_symbol
_atom_site_fract_x
_atom_site_fract_y
_atom_site_fract_z
Zr1 Zr 0.500 0.500 0.000
Zr2 Zr 0.000 0.000 0.857
Zr3 Zr 0.000 0.000 0.143
Ag1 Ag 0.500 0.500 0.729
Ag2 Ag 0.500 0.500 0.271
Ag3 Ag 0.500 0.500 0.500
Ag4 Ag 0.000 0.000 0.614
Ag5 Ag 0.000 0.000 0.386
```

Values from the calculation:
The value obtained for the formation energy is -0.016 eV/atom. Its polymorph energy (0 for the lowest one) is 0.000 eV/atom.

***

# 4
The following is a DFT calculation (GGA-PBE) of an optimized crystal structure of Ba2PdS2Br2.

```
data_Ba2PdS2Br2
_chemical_formula_sum 'Ba2 Pd1 S2 Br2'
_cell_length_a 4.775
_cell_length_b 4.775
_cell_length_c 9.549
_cell_angle_alpha 104.48
_cell_angle_beta 104.48
_cell_angle_gamma 90.00
_space_group_name_H-M_alt 'P 1'
_space_group_IT_number 1
loop_
_space_group_symop_operation_xyz
'x,y,z'
loop_
_atom_site_label
_atom_site_type_symbol
_atom_site_fract_x
_atom_site_fract_y
_atom_site_fract_z
Ba1 Ba 0.378 0.378 0.757
Ba2 Ba 0.622 0.622 0.243
Br1 Br 0.187 0.187 0.374
Br2 Br 0.813 0.813 0.626
S1 S 0.500 0.000 0.000
S2 S 0.000 0.500 0.000
Pd1 Pd 0.000 0.000 0.000
```

Values from the calculation:
The uncorrected formation energy comes out at -1.563 eV/atom.